A plane-wave DFT calculation with GGA-PBE was carried out for La3DyTl after structural relaxation.

Calculated values
Final energy, Ry per atom: -0.327
Formation enthalpy at 0 K, meV/atom: -104
Volume, A^3/atom: 33.1
Magnetic moment, μB/f.u.: 0.000

Cell lengths 5.972, 5.927, 9.811 Å; angles 90.00, 72.28, 90.00 degrees
Fractional positions:
La 0.073 0.750 0.502
La 0.767 0.250 0.115
La 0.575 0.250 0.498
La 0.266 0.750 0.117
Dy 0.176 0.250 0.297
Tl 0.671 0.750 0.306
La 0.382 0.250 0.883
La 0.882 0.750 0.885
Tl 0.977 0.250 0.694
Dy 0.472 0.750 0.703

***

A plane-wave DFT calculation with GGA-PBE was carried out for CsHfSc2I after structural relaxation.

Calculated values
Final energy, Ry per atom: -0.290
Volume, A^3/atom: 37.0
Magnetic moment, μB/f.u.: 0.004
Raw formation energy, kJ/mol of formula units: 514

Cell lengths 5.383, 6.383, 5.383 Å; angles 90.00, 90.00, 90.00 degrees
Fractional positions:
Cs 0.000 0.500 0.000
Hf 0.500 0.500 0.500
Sc 0.500 0.000 0.000
I 0.000 0.000 0.000
Sc 0.000 0.000 0.500